Version A
{"formula": "TaAgIr3", "functional": "PBE", "state": "optimized geometry", "lattice_angstrom": [[4.675, 0.000, 0.000], [0.000, 4.675, 0.000], [0.000, 0.000, 4.675]], "species": ["Ta", "Ir", "Ir", "Ir", "Ag"], "fractional_positions": [[0.500, 0.500, 0.500], [0.000, 0.000, 0.500], [0.500, 0.000, 0.000], [0.000, 0.500, 0.000], [0.000, 0.000, 0.000]], "crystal_system": "cubic", "dos_ef_per_ev_cell": 5.13, "sg": "Pm-3m, No. 221", "total_magnetization_mub_per_atom": 0.0000}


Version B
{"formula": "TaAgIr3", "functional": "PBE", "state": "optimized geometry", "lattice_angstrom": [[-0.525, 2.850, -3.802], [-4.211, -2.051, -0.955], [-2.200, 3.245, 2.736]], "species": ["Ta", "Ir", "Ir", "Ir", "Ag"], "fractional_positions": [[0.000, 0.000, 0.000], [0.500, 0.000, 0.000], [0.000, 0.500, 0.000], [0.000, 0.000, 0.500], [0.500, 0.500, 0.500]], "crystal_system": "cubic", "dos_ef_per_ev_cell": 5.11, "sg": "Pm-3m, No. 221", "total_magnetization_mub_per_atom": 0.0000}


Top of the stability list: version B, leading by 77.0 kJ/mol of atoms.


Version A
{"formula": "Tb3AgIr", "functional": "PBE", "state": "optimized geometry", "lattice_angstrom": [[5.291, -0.262, 2.508], [1.704, 5.016, 2.508], [0.169, 0.115, 9.364]], "species": ["Tb", "Tb", "Tb", "Tb", "Tb", "Tb", "Ag", "Ag", "Ir", "Ir"], "fractional_positions": [[0.079, 0.079, 0.713], [0.305, 0.305, 0.890], [0.921, 0.921, 0.287], [0.291, 0.291, 0.284], [0.709, 0.709, 0.716], [0.695, 0.695, 0.110], [0.290, 0.710, 0.500], [0.710, 0.290, 0.500], [0.751, 0.249, 0.000], [0.249, 0.751, 0.000]], "crystal_system": "monoclinic", "dos_ef_per_ev_cell": 7.31, "sg": "C2/m, No. 12", "total_magnetization_mub_per_atom": 0.0000}


Version B
{"formula": "Tb3AgIr", "functional": "PBE", "state": "optimized geometry", "lattice_angstrom": [[3.970, -0.001, -0.001], [0.001, 8.694, -0.019], [0.002, 3.004, 8.164]], "species": ["Tb", "Tb", "Tb", "Tb", "Tb", "Tb", "Ir", "Ir", "Ag", "Ag"], "fractional_positions": [[0.363, 0.362, 0.415], [0.363, 0.026, 0.078], [0.864, 0.007, 0.684], [0.864, 0.382, 0.809], [0.863, 0.757, 0.434], [0.863, 0.631, 0.059], [0.363, 0.694, 0.246], [0.364, 0.194, 0.746], [0.863, 0.194, 0.247], [0.363, 0.694, 0.746]], "crystal_system": "orthorhombic", "dos_ef_per_ev_cell": 6.17, "sg": "Amm2, No. 38", "total_magnetization_mub_per_atom": 0.0000}


Top of the stability list: version A, leading by 6.7 kJ/mol of atoms.


Version A
{"formula": "TbAgIr", "functional": "PBE", "state": "optimized geometry", "lattice_angstrom": [[-2.174, 4.203, 3.221], [-1.357, -5.499, 0.829], [5.314, -2.270, 0.135]], "species": ["Ir", "Ir", "Ag", "Ag", "Tb", "Tb"], "fractional_positions": [[0.251, 0.946, 0.197], [0.749, 0.054, 0.803], [0.000, 0.000, 0.500], [0.500, 0.500, 0.500], [0.749, 0.373, 0.122], [0.251, 0.627, 0.878]], "crystal_system": "monoclinic", "dos_ef_per_ev_cell": 3.19, "sg": "C2/m, No. 12", "total_magnetization_mub_per_atom": 0.0000}


Version B
{"formula": "TbAgIr", "functional": "PBE", "state": "optimized geometry", "lattice_angstrom": [[3.585, 0.000, 0.000], [0.000, 3.585, 0.000], [-1.792, -1.792, 4.670]], "species": ["Ir", "Ag", "Tb"], "fractional_positions": [[0.614, 0.614, 0.229], [0.275, 0.275, 0.550], [0.960, 0.960, 0.921]], "crystal_system": "tetragonal", "dos_ef_per_ev_cell": 2.66, "sg": "I4mm, No. 107", "total_magnetization_mub_per_atom": 0.0001}


Top of the stability list: version B, leading by 2.3 kJ/mol of atoms.


Version A
{"formula": "TcAgIr", "functional": "PBE", "state": "optimized geometry", "lattice_angstrom": [[7.642, -0.008, 0.005], [6.930, 2.621, -0.005], [0.712, -1.129, 2.375]], "species": ["Ir", "Tc", "Ag"], "fractional_positions": [[0.325, 0.325, 0.675], [0.675, 0.675, 0.325], [0.000, 0.000, 0.000]], "crystal_system": "orthorhombic", "dos_ef_per_ev_cell": 2.71, "sg": "Fmm2, No. 42", "total_magnetization_mub_per_atom": 0.0001}


Version B
{"formula": "TcAgIr", "functional": "PBE", "state": "optimized geometry", "lattice_angstrom": [[6.334, 0.000, 0.000], [5.100, 3.757, 0.000], [-5.717, -1.879, 1.977]], "species": ["Ag", "Ir", "Tc"], "fractional_positions": [[0.001, 0.001, 0.000], [0.320, 0.320, 0.000], [0.680, 0.680, 0.000]], "crystal_system": "tetragonal", "dos_ef_per_ev_cell": 2.32, "sg": "I4mm, No. 107", "total_magnetization_mub_per_atom": 0.0000}


Version C
{"formula": "TcAgIr", "functional": "PBE", "state": "optimized geometry", "lattice_angstrom": [[-1.845, -1.727, -1.118], [2.214, 0.786, -1.454], [3.617, -5.504, 2.532]], "species": ["Ag", "Ir", "Tc"], "fractional_positions": [[0.000, 0.000, 0.999], [0.667, 0.333, 0.352], [0.333, 0.667, 0.648]], "crystal_system": "trigonal", "dos_ef_per_ev_cell": 3.18, "sg": "P3m1, No. 156", "total_magnetization_mub_per_atom": 0.0002}


Version D
{"formula": "TcAgIr", "functional": "PBE", "state": "optimized geometry", "lattice_angstrom": [[-3.382, -2.824, -2.322], [-0.576, -4.864, 0.904], [0.042, 4.637, 1.818]], "species": ["Ir", "Ag", "Tc"], "fractional_positions": [[0.316, 0.316, 0.000], [0.000, 0.000, 0.000], [0.684, 0.684, 0.000]], "crystal_system": "orthorhombic", "dos_ef_per_ev_cell": 1.78, "sg": "Imm2, No. 44", "total_magnetization_mub_per_atom": 0.0000}


Top of the stability list: version C, leading by 2.1 kJ/mol of atoms.